Record 1
The following is a PBE+U calculation of ZnNiNO2 after structural relaxation, from the Alexandria database.

Unit cell a=3.8333 b=3.8333 c=3.6045 alpha=90.00 beta=90.00 gamma=90.00
Site moments in Bohr magnetons follow the coordinates.
Positions (direct):
O1 0.5000 0.0000 0.0000  0.18
O2 0.0000 0.5000 0.0000  0.18
N1 0.0000 0.0000 0.5000  0.85
Ni1 0.0000 0.0000 0.0000  1.17
Zn1 0.5000 0.5000 0.5000  -0.03

---

Record 2
The following is a PBE+U calculation of ZnNiNO2 after structural relaxation, from the Alexandria database.

Unit cell a=3.9357 b=3.9357 c=3.7336 alpha=90.00 beta=90.00 gamma=90.00
Site moments in Bohr magnetons follow the coordinates.
Positions (direct):
Ni1 0.5000 0.5000 0.5000  1.75
O1 0.0000 0.5000 0.0000  0.44
O2 0.5000 0.0000 0.0000  0.44
N1 0.0000 0.0000 0.5000  0.99
Zn1 0.0000 0.0000 0.0000  0.08

---

Record 3
The following is a PBE+U calculation of ZrNiN2O after structural relaxation, from the Alexandria database.

Unit cell a=4.2480 b=4.2480 c=4.0863 alpha=90.00 beta=90.00 gamma=90.00
Site moments in Bohr magnetons follow the coordinates.
Positions (direct):
Zr1 0.0000 0.0000 0.0000  -0.04
O1 0.0000 0.0000 0.5000  0.28
Ni1 0.5000 0.5000 0.5000  1.64
N1 0.5000 0.0000 0.0000  0.45
N2 0.0000 0.5000 0.0000  0.45

---

Record 4
The following is a PBE+U calculation of ZrNiN2O after structural relaxation, from the Alexandria database.

Unit cell a=3.7020 b=3.7020 c=3.6365 alpha=90.00 beta=90.00 gamma=90.00
Site moments in Bohr magnetons follow the coordinates.
Positions (direct):
N1 0.5000 0.0000 0.0000  -0.17
N2 0.0000 0.5000 0.0000  -0.17
Zr1 0.5000 0.5000 0.5000  0.01
O1 0.0000 0.0000 0.5000  -0.09
Ni1 0.0000 0.0000 0.0000  0.82

---

| no. | energy (eV for the cell shown) |
| --- | --- |
| 1 | -19.734 |
| 2 | -18.121 |
| 3 | -31.208 |
| 4 | -33.449 |